[1]
Material: ZrTe2Pd
Method: DFT, PBE
State: relaxed

Properties
The value obtained for the final energy is -92.6 eV per cell. The size of the total moment is 0.00 Bohr magnetons per cell. As for the distance to the lowest polymorph of the same formula: 0.0 meV/atom.

```
16
Lattice="8.642 0.000 0.000 0.000 6.880 0.000 -3.967 0.000 7.599" Properties=species:S:1:pos:R:3 pbc="T T T"
Zr -0.997 0.192 2.371
Zr -2.980 3.248 6.171
Zr 7.655 3.632 1.428
Zr 5.671 6.688 5.228
Te -0.694 1.649 4.980
Te 1.290 1.791 1.180
Te 1.089 5.139 3.045
Te -0.895 5.181 6.845
Te 5.569 1.699 0.755
Te 3.586 1.741 4.554
Te 3.384 5.089 6.419
Te 5.368 5.231 2.620
Pd -1.251 4.501 4.262
Pd 0.733 5.819 0.462
Pd 3.942 1.061 7.137
Pd 5.925 2.379 3.338
```

=====

[2]
Material: NaInRe
Method: DFT, PBE
State: relaxed

Properties
The value obtained for the final energy is -49.6 eV per cell. The size of the total moment is 9.41 Bohr magnetons per cell. As for the distance to the lowest polymorph of the same formula: 0.0 meV/atom.

```
12
Lattice="6.578 0.000 0.000 0.000 6.578 0.000 0.000 0.000 6.578" Properties=species:S:1:pos:R:3 pbc="T T T"
Na 0.000 0.000 0.000
Na 0.000 3.289 3.289
Na 3.289 0.000 3.289
Na 3.289 3.289 0.000
In 1.645 1.645 1.645
In 1.645 4.934 4.934
In 4.934 1.645 4.934
In 4.934 4.934 1.645
Re 0.000 0.000 3.289
Re 0.000 3.289 0.000
Re 3.289 0.000 0.000
Re 3.289 3.289 3.289
```

=====

[3]
Material: LiCdGeAu
Method: DFT, PBE
State: relaxed

Properties
The value obtained for the final energy is -46.0 eV per cell. As for the distance to the lowest polymorph of the same formula: 0.0 meV/atom.

```
16
Lattice="6.608 0.000 0.000 0.000 6.608 0.000 0.000 0.000 6.608" Properties=species:S:1:pos:R:3 pbc="T T T"
Li 0.000 0.000 0.000
Li 0.000 3.304 3.304
Li 3.304 0.000 3.304
Li 3.304 3.304 0.000
Cd 1.652 1.652 4.956
Cd 1.652 4.956 1.652
Cd 4.956 1.652 1.652
Cd 4.956 4.956 4.956
Ge 1.652 1.652 1.652
Ge 1.652 4.956 4.956
Ge 4.956 1.652 4.956
Ge 4.956 4.956 1.652
Au 0.000 0.000 3.304
Au 0.000 3.304 0.000
Au 3.304 0.000 0.000
Au 3.304 3.304 3.304
```